Record 1
Computed, not measured: Np2TlPtSe4 after structural relaxation at the PBE-GGA level of DFT.

Values from the calculation:
Symmetry: Cmcm
E_form (uncorrected), eV/atom: -0.832

Lattice parameters (Å, degrees): 7.341 7.341 14.444 90.00 90.00 147.44
Sites, in units of the cell vectors:
Np  0.132  0.868  0.568
Np  0.132  0.868  0.932
Np  0.868  0.132  0.068
Np  0.868  0.132  0.432
Tl  0.376  0.624  0.750
Tl  0.624  0.376  0.250
Pt  0.338  0.662  0.250
Pt  0.662  0.338  0.750
Se  0.058  0.942  0.750
Se  0.233  0.767  0.105
Se  0.233  0.767  0.395
Se  0.500  0.500  0.000
Se  0.500  0.500  0.500
Se  0.767  0.233  0.605
Se  0.767  0.233  0.895
Se  0.942  0.058  0.250



Record 2
Computed, not measured: Np3Tl4PtSe8 after structural relaxation at the PBE-GGA level of DFT.

Values from the calculation:
Symmetry: C2/m
E_form (uncorrected), eV/atom: -0.714

Lattice parameters (Å, degrees): 8.338 8.338 9.169 116.46 116.46 57.38
Sites, in units of the cell vectors:
Np  0.000  0.000  0.000
Np  0.000  0.500  0.000
Np  0.500  0.000  0.000
Tl  0.000  0.000  0.500
Tl  0.000  0.500  0.500
Tl  0.500  0.000  0.500
Tl  0.500  0.500  0.500
Pt  0.500  0.500  0.000
Se  0.230  0.230  0.205
Se  0.236  0.236  0.774
Se  0.258  0.706  0.184
Se  0.294  0.742  0.816
Se  0.706  0.258  0.184
Se  0.742  0.294  0.816
Se  0.764  0.764  0.226
Se  0.770  0.770  0.795



Q: Among the records above, which one has the highest E_form (uncorrected)?
A: Np3Tl4PtSe8